No. 1
# P2OsAu PBE optimized geometry
data_P2OsAu
_space_group_name_H-M_alt 'C m m m'
_space_group_IT_number 65
_space_group_name_Hall '-C 2 2'
_cell_length_a 5.904
_cell_length_b 8.196
_cell_length_c 2.631
_cell_angle_alpha 90.00
_cell_angle_beta 90.00
_cell_angle_gamma 90.00
loop_
_atom_site_label
_atom_site_type_symbol
_atom_site_fract_x
_atom_site_fract_y
_atom_site_fract_z
P1 P 0.250 0.250 0.000
Os1 Os 0.000 0.000 0.000
Au1 Au 0.000 0.500 0.000
# Raw total energy, eV per cell: -46.5
# ΔH_f (0 K), meV per atom: 519.4
# D(E_F), states/eV/cell: 6.21
# Energy above the most stable polymorph in this dataset, kJ/mol of formula units: 219

No. 2
# POsAu2 PBE optimized geometry
data_POsAu2
_space_group_name_H-M_alt 'I -4 2 d'
_space_group_IT_number 122
_space_group_name_Hall 'I -4 2bw'
_cell_length_a 7.371
_cell_length_b 7.371
_cell_length_c 4.977
_cell_angle_alpha 90.00
_cell_angle_beta 90.00
_cell_angle_gamma 90.00
loop_
_atom_site_label
_atom_site_type_symbol
_atom_site_fract_x
_atom_site_fract_y
_atom_site_fract_z
P1 P 0.000 0.000 0.000
Os1 Os 0.000 0.000 0.500
Au1 Au 0.216 0.250 0.125
# Raw total energy, eV per cell: -82.5
# ΔH_f (0 K), meV per atom: 641.3
# D(E_F), states/eV/cell: 10.26

No. 3
# POs2Au PBE optimized geometry
data_POs2Au
_space_group_name_H-M_alt 'P 4/m m m'
_space_group_IT_number 123
_space_group_name_Hall '-P 4 2'
_cell_length_a 2.914
_cell_length_b 2.914
_cell_length_c 6.839
_cell_angle_alpha 90.00
_cell_angle_beta 90.00
_cell_angle_gamma 90.00
loop_
_atom_site_label
_atom_site_type_symbol
_atom_site_fract_x
_atom_site_fract_y
_atom_site_fract_z
P1 P 0.000 0.000 0.000
Os1 Os 0.500 0.500 0.197
Au1 Au 0.000 0.000 0.500
# Raw total energy, eV per cell: -30.0
# ΔH_f (0 K), meV per atom: 291.0
# D(E_F), states/eV/cell: 3.92

No. 4
# POs2Au PBE optimized geometry
data_POs2Au
_space_group_name_H-M_alt 'C 1 2/m 1'
_space_group_IT_number 12
_space_group_name_Hall '-C 2y'
_cell_length_a 7.154
_cell_length_b 2.888
_cell_length_c 6.156
_cell_angle_alpha 90.00
_cell_angle_beta 100.53
_cell_angle_gamma 90.00
loop_
_atom_site_label
_atom_site_type_symbol
_atom_site_fract_x
_atom_site_fract_y
_atom_site_fract_z
P1 P 0.000 0.000 0.000
Os1 Os 0.244 0.500 0.188
Au1 Au 0.000 0.500 0.500
# Raw total energy, eV per cell: -59.8
# ΔH_f (0 K), meV per atom: 307.0
# D(E_F), states/eV/cell: 5.18